Computed, not measured: Rb2NbVF6 after structural relaxation at the GGA+U level of DFT.

Results
Its symmetry is No. 225. The total energy is -5.577 eV/atom. The volume is 165.52 Å³/cell. The total magnetic moment is 0.00 μB/atom.

abc: 6.1629 6.1629 6.1630
angles: 60.00 60.00 90.00
Closest atoms and distances in Å follow each position.
Sites, in units of the cell vectors:
Nb (0.0000, 0.0000, 0.0000)  6 F 2.24
F (0.2569, 0.2569, 0.4863)  1 V 2.12, 1 Nb 2.24
F (0.7431, 0.7431, 0.5137)  1 V 2.12, 1 Nb 2.24
F (0.2568, 0.2568, 0.0000)  1 V 2.12, 1 Nb 2.24
F (0.7432, 0.7432, 0.0000)  1 V 2.12, 1 Nb 2.24
F (0.7432, 0.2568, 0.0000)  1 V 2.12, 1 Nb 2.24
F (0.2568, 0.7432, 0.0000)  1 V 2.12, 1 Nb 2.24
Rb (0.7500, 0.2500, 0.5000)  12 F 3.08
Rb (0.2500, 0.7500, 0.5000)  12 F 3.08
V (0.5000, 0.5000, 0.0000)  6 F 2.12